# 1
{
  "formula": "Zr2UZn2Rh5",
  "functional": "PBE",
  "state": "optimized geometry",
  "cell": [[9.476, 0.000, 0.000], [0.000, 9.476, 0.000], [0.000, 0.000, 3.741]],
  "species": ["Zr", "Zr", "Zr", "Zr", "U", "U", "Zn", "Zn", "Zn", "Zn", "Rh", "Rh", "Rh", "Rh", "Rh", "Rh", "Rh", "Rh", "Rh", "Rh"],
  "fractional_positions": [[0.167, 0.333, 0.000], [0.333, 0.833, 0.000], [0.667, 0.167, 0.000], [0.833, 0.667, 0.000], [0.000, 0.000, 0.000], [0.500, 0.500, 0.000], [0.127, 0.627, 0.000], [0.373, 0.127, 0.000], [0.627, 0.873, 0.000], [0.873, 0.373, 0.000], [0.000, 0.500, 0.500], [0.068, 0.798, 0.500], [0.202, 0.068, 0.500], [0.298, 0.568, 0.500], [0.432, 0.298, 0.500], [0.500, 0.000, 0.500], [0.568, 0.702, 0.500], [0.702, 0.432, 0.500], [0.798, 0.932, 0.500], [0.932, 0.202, 0.500]],
  "e_form_ev_per_atom": -0.575,
  "sg": "P4/mbm (127)",
  "magnetic_moment_mub_per_fu": 0.00,
  "crystal_system": "tetragonal"
}

# 2
{
  "formula": "Zr2URh",
  "functional": "PBE",
  "state": "optimized geometry",
  "cell": [[5.018, 0.000, 0.000], [0.000, 5.018, 0.000], [0.000, 0.000, 3.130]],
  "species": ["Zr", "Zr", "U", "Rh"],
  "fractional_positions": [[0.000, 0.500, 0.000], [0.500, 0.000, 0.000], [0.000, 0.000, 0.500], [0.500, 0.500, 0.500]],
  "e_form_ev_per_atom": -0.102,
  "sg": "P4/mmm (123)",
  "magnetic_moment_mub_per_fu": 1.25,
  "crystal_system": "tetragonal"
}

# 3
{
  "formula": "ZrURh",
  "functional": "PBE",
  "state": "optimized geometry",
  "cell": [[4.900, -1.459, 0.000], [4.900, 1.459, 0.000], [-0.271, 0.000, 8.229]],
  "species": ["Zr", "Zr", "U", "U", "Rh", "Rh"],
  "fractional_positions": [[0.132, 0.132, 0.390], [0.868, 0.868, 0.610], [0.126, 0.126, 0.051], [0.874, 0.874, 0.949], [0.137, 0.137, 0.728], [0.863, 0.863, 0.272]],
  "e_form_ev_per_atom": -0.032,
  "sg": "C2/m (12)",
  "magnetic_moment_mub_per_fu": 0.41,
  "crystal_system": "monoclinic"
}

# 4
{
  "formula": "ZrU2Rh5",
  "functional": "PBE",
  "state": "optimized geometry",
  "cell": [[5.790, 0.000, 0.000], [0.000, 11.456, 0.000], [0.000, 0.000, 4.260]],
  "species": ["Zr", "Zr", "U", "U", "U", "U", "Rh", "Rh", "Rh", "Rh", "Rh", "Rh", "Rh", "Rh", "Rh", "Rh"],
  "fractional_positions": [[0.000, 0.000, 0.000], [0.500, 0.500, 0.000], [0.176, 0.357, 0.500], [0.324, 0.857, 0.500], [0.676, 0.143, 0.500], [0.824, 0.643, 0.500], [0.000, 0.500, 0.000], [0.078, 0.751, 0.000], [0.201, 0.113, 0.500], [0.299, 0.613, 0.500], [0.422, 0.251, 0.000], [0.500, 0.000, 0.000], [0.578, 0.749, 0.000], [0.701, 0.387, 0.500], [0.799, 0.887, 0.500], [0.922, 0.249, 0.000]],
  "e_form_ev_per_atom": -0.585,
  "sg": "Pbam (55)",
  "magnetic_moment_mub_per_fu": 3.09,
  "crystal_system": "orthorhombic"
}

Please write out number 2 again, unchanged.
{
  "formula": "Zr2URh",
  "functional": "PBE",
  "state": "optimized geometry",
  "cell": [[5.018, 0.000, 0.000], [0.000, 5.018, 0.000], [0.000, 0.000, 3.130]],
  "species": ["Zr", "Zr", "U", "Rh"],
  "fractional_positions": [[0.000, 0.500, 0.000], [0.500, 0.000, 0.000], [0.000, 0.000, 0.500], [0.500, 0.500, 0.500]],
  "e_form_ev_per_atom": -0.102,
  "sg": "P4/mmm (123)",
  "magnetic_moment_mub_per_fu": 1.25,
  "crystal_system": "tetragonal"
}

Repeat the fourth record exactly.
{
  "formula": "ZrU2Rh5",
  "functional": "PBE",
  "state": "optimized geometry",
  "cell": [[5.790, 0.000, 0.000], [0.000, 11.456, 0.000], [0.000, 0.000, 4.260]],
  "species": ["Zr", "Zr", "U", "U", "U", "U", "Rh", "Rh", "Rh", "Rh", "Rh", "Rh", "Rh", "Rh", "Rh", "Rh"],
  "fractional_positions": [[0.000, 0.000, 0.000], [0.500, 0.500, 0.000], [0.176, 0.357, 0.500], [0.324, 0.857, 0.500], [0.676, 0.143, 0.500], [0.824, 0.643, 0.500], [0.000, 0.500, 0.000], [0.078, 0.751, 0.000], [0.201, 0.113, 0.500], [0.299, 0.613, 0.500], [0.422, 0.251, 0.000], [0.500, 0.000, 0.000], [0.578, 0.749, 0.000], [0.701, 0.387, 0.500], [0.799, 0.887, 0.500], [0.922, 0.249, 0.000]],
  "e_form_ev_per_atom": -0.585,
  "sg": "Pbam (55)",
  "magnetic_moment_mub_per_fu": 3.09,
  "crystal_system": "orthorhombic"
}